ZnIn2As2: optimized geometry, PBE-GGA.

Cell: 7.9070 7.9070 3.6617 Å, 90.00 90.00 90.00°
Space group P4/mbm (No. 127)
Inequivalent atoms, fractional coordinates:
Zn1 0.0000 0.0000 0.0000 (multiplicity 2)
In1 0.1519 0.3481 0.0000 (multiplicity 4)
As1 0.1455 0.6455 0.5000 (multiplicity 4)

Energy above the most stable polymorph in this dataset: 0.47 eV per formula unit
Crystal system: tetragonal

---

ZnInAs: optimized geometry, PBE-GGA.

Cell: 3.1697 3.1697 7.3105 Å, 90.00 90.00 120.00°
Space group P3m1 (No. 156)
Inequivalent atoms, fractional coordinates:
Zn1 0.0000 0.0000 0.0000 (multiplicity 1)
In1 0.3333 0.6667 0.6629 (multiplicity 1)
As1 0.6667 0.3333 0.2778 (multiplicity 1)

Energy above the most stable polymorph in this dataset: 0.76 eV per formula unit
Crystal system: trigonal

---

ZnInAs: optimized geometry, PBE-GGA.

Cell: 5.1974 5.1903 9.5049 Å, 90.00 90.27 90.00°
Space group C2/m (No. 12)
Inequivalent atoms, fractional coordinates:
Zn1 0.2486 0.0000 0.4122 (multiplicity 4)
In1 0.2486 0.5000 0.8902 (multiplicity 4)
As1 0.2491 0.5000 0.3169 (multiplicity 4)

Energy above the most stable polymorph in this dataset: 0.18 eV per formula unit
Crystal system: monoclinic

---

ZnIn3As: optimized geometry, PBE-GGA.

Cell: 5.4369 5.4369 5.4369 Å, 90.00 90.00 90.00°
Space group Pm-3m (No. 221)
Inequivalent atoms, fractional coordinates:
Zn1 0.0000 0.0000 0.0000 (multiplicity 1)
In1 0.0000 0.5000 0.5000 (multiplicity 3)
As1 0.5000 0.5000 0.5000 (multiplicity 1)

Energy above the most stable polymorph in this dataset: 0.32 eV per formula unit
Crystal system: cubic

---

ZnIn4As: optimized geometry, PBE-GGA.

Cell: 8.6436 8.6436 8.6436 Å, 90.00 90.00 90.00°
Space group F-43m (No. 216)
Inequivalent atoms, fractional coordinates:
Zn1 0.0000 0.0000 0.0000 (multiplicity 4)
In1 0.1248 0.1248 0.3752 (multiplicity 16)
As1 0.2500 0.2500 0.7500 (multiplicity 4)

Crystal system: cubic

---

Zn4InAs: optimized geometry, PBE-GGA.

Cell: 7.5711 7.5711 7.5711 Å, 90.00 90.00 90.00°
Space group F-43m (No. 216)
Inequivalent atoms, fractional coordinates:
Zn1 0.1241 0.1241 0.3759 (multiplicity 16)
In1 0.0000 0.0000 0.0000 (multiplicity 4)
As1 0.2500 0.2500 0.7500 (multiplicity 4)

Crystal system: cubic

---

Zn5In12As3: optimized geometry, PBE-GGA.

Cell: 16.4572 16.4572 16.4572 Å, 90.00 90.00 90.00°
Space group Ia-3d (No. 230)
Inequivalent atoms, fractional coordinates:
Zn1 0.0000 0.0000 0.0000 (multiplicity 16)
Zn2 0.0000 0.2500 0.3750 (multiplicity 24)
In1 0.0225 0.0755 0.6485 (multiplicity 96)
As1 0.0000 0.2500 0.1250 (multiplicity 24)

Crystal system: cubic

---

ZnIn2As2: optimized geometry, PBE-GGA.

Cell: 4.7285 4.7285 11.8821 Å, 90.00 90.00 90.00°
Space group I4/mmm (No. 139)
Inequivalent atoms, fractional coordinates:
Zn1 0.0000 0.0000 0.0000 (multiplicity 2)
In1 0.0000 0.5000 0.2500 (multiplicity 4)
As1 0.0000 0.0000 0.3812 (multiplicity 4)

Energy above the most stable polymorph in this dataset: 0.27 eV per formula unit
Crystal system: tetragonal

---

Zn2InAs2: optimized geometry, PBE-GGA.

Cell: 4.2874 4.2874 11.4571 Å, 90.00 90.00 90.00°
Space group I4/mmm (No. 139)
Inequivalent atoms, fractional coordinates:
Zn1 0.0000 0.0000 0.1085 (multiplicity 4)
In1 0.0000 0.0000 0.5000 (multiplicity 2)
As1 0.0000 0.5000 0.2500 (multiplicity 4)

Crystal system: tetragonal

---

ZnInAs: optimized geometry, PBE-GGA.

Cell: 4.1040 5.1833 11.9892 Å, 90.00 90.00 90.00°
Space group Fmm2 (No. 42)
Inequivalent atoms, fractional coordinates:
Zn1 0.0000 0.0000 0.0000 (multiplicity 4)
In1 0.0000 0.0000 0.3223 (multiplicity 4)
As1 0.0000 0.0000 0.6307 (multiplicity 4)

Energy above the most stable polymorph in this dataset: 0.56 eV per formula unit
Crystal system: orthorhombic

---

ZrIn2As: optimized geometry, PBE-GGA.

Cell: 4.0015 5.0669 9.4261 Å, 90.00 90.00 90.00°
Space group Cmm2 (No. 35)
Inequivalent atoms, fractional coordinates:
Zr1 0.0000 0.0000 0.0000 (multiplicity 2)
In1 0.0000 0.0000 0.5325 (multiplicity 2)
In2 0.0000 0.5000 0.2510 (multiplicity 2)
As1 0.0000 0.5000 0.8119 (multiplicity 2)

Crystal system: orthorhombic

---

ZrIn2As: optimized geometry, PBE-GGA.

Cell: 3.1931 3.1931 8.8158 Å, 90.00 90.00 90.00°
Space group P4/mmm (No. 123)
Inequivalent atoms, fractional coordinates:
Zr1 0.0000 0.0000 0.0000 (multiplicity 1)
In1 0.5000 0.5000 0.2519 (multiplicity 2)
As1 0.0000 0.0000 0.5000 (multiplicity 1)

Crystal system: tetragonal

---

ZrInAs3: optimized geometry, PBE-GGA.

Cell: 5.2273 5.2273 5.2273 Å, 90.00 90.00 90.00°
Space group Pm-3m (No. 221)
Inequivalent atoms, fractional coordinates:
Zr1 0.0000 0.0000 0.0000 (multiplicity 1)
In1 0.5000 0.5000 0.5000 (multiplicity 1)
As1 0.0000 0.0000 0.5000 (multiplicity 3)

Energy above the most stable polymorph in this dataset: 0.00 eV per formula unit
Crystal system: cubic

---

Zr2InAs: optimized geometry, PBE-GGA.

Cell: 4.0411 4.1393 5.0279 Å, 90.00 90.00 90.00°
Space group Pmmm (No. 47)
Inequivalent atoms, fractional coordinates:
Zr1 0.0000 0.0000 0.0000 (multiplicity 1)
Zr2 0.0000 0.5000 0.5000 (multiplicity 1)
In1 0.5000 0.0000 0.5000 (multiplicity 1)
As1 0.5000 0.5000 0.0000 (multiplicity 1)

Crystal system: orthorhombic

---

Zr2InAs: optimized geometry, PBE-GGA.

Cell: 3.3127 3.3127 28.7099 Å, 90.00 90.00 120.00°
Space group R3m (No. 160, hexagonal axes)
Inequivalent atoms, fractional coordinates:
Zr1 0.0000 0.0000 0.0000 (multiplicity 3)
Zr2 0.0000 0.0000 0.2469 (multiplicity 3)
In1 0.0000 0.0000 0.7549 (multiplicity 3)
As1 0.0000 0.0000 0.5063 (multiplicity 3)

Crystal system: trigonal

---

Zr2InAs: optimized geometry, PBE-GGA.

Cell: 6.4041 3.7077 7.9324 Å, 90.00 105.72 90.00°
Space group C2/m (No. 12)
Inequivalent atoms, fractional coordinates:
Zr1 0.2357 0.0000 0.2059 (multiplicity 4)
In1 0.0000 0.0000 0.5000 (multiplicity 2)
As1 0.0000 0.5000 0.0000 (multiplicity 2)

Crystal system: monoclinic

---

ZrIn2As: optimized geometry, PBE-GGA.

Cell: 3.1373 5.3326 5.4609 Å, 90.00 102.16 90.00°
Space group P2/m (No. 10)
Inequivalent atoms, fractional coordinates:
Zr1 0.0000 0.0000 0.0000 (multiplicity 1)
In1 0.3262 0.5000 0.7431 (multiplicity 2)
As1 0.5000 0.0000 0.5000 (multiplicity 1)

Crystal system: monoclinic

---

Zr2InAs: optimized geometry, PBE-GGA.

Cell: 4.0187 5.1363 8.2428 Å, 90.00 90.00 90.00°
Space group Cmmm (No. 65)
Inequivalent atoms, fractional coordinates:
Zr1 0.0000 0.0000 0.2194 (multiplicity 4)
In1 0.0000 0.5000 0.5000 (multiplicity 2)
As1 0.0000 0.5000 0.0000 (multiplicity 2)

Crystal system: orthorhombic

---

ZrIn2As: optimized geometry, PBE-GGA.

Cell: 7.1082 7.1082 7.1082 Å, 90.00 90.00 90.00°
Space group F-43m (No. 216)
Inequivalent atoms, fractional coordinates:
Zr1 0.0000 0.0000 0.0000 (multiplicity 4)
In1 0.0000 0.0000 0.5000 (multiplicity 4)
In2 0.2500 0.2500 0.7500 (multiplicity 4)
As1 0.2500 0.2500 0.2500 (multiplicity 4)

Crystal system: cubic

---

Zr2InAs: optimized geometry, PBE-GGA.

Cell: 6.1243 7.7168 3.5350 Å, 90.00 90.00 90.00°
Space group Cmmm (No. 65)
Inequivalent atoms, fractional coordinates:
Zr1 0.2500 0.2500 0.0000 (multiplicity 4)
In1 0.0000 0.0000 0.5000 (multiplicity 2)
As1 0.0000 0.5000 0.5000 (multiplicity 2)

Crystal system: orthorhombic

---

no.,energy relative to the elements (eV/atom),volume (Å³/cell)
1,0.225,229
2,0.232,64
3,0.036,256
4,0.433,161
5,0.382,646
6,0.161,434
7,0.142,4457
8,0.186,266
9,0.094,211
10,0.163,255
11,-0.214,191
12,0.073,90
13,0.091,143
14,-0.418,84
15,-0.120,273
16,-0.639,181
17,-0.077,89
18,-0.537,170
19,0.045,359
20,-0.415,167